AcSc2Se: relaxed, PBE.

Unit cell a=3.6680 b=3.6680 c=10.2784 alpha=79.72 beta=79.72 gamma=60.00
Positions (direct):
Ac 0.0000 0.0000 0.0000
Sc 0.8863 0.8863 0.3411
Sc 0.1137 0.1137 0.6589
Se 0.5000 0.5000 0.5000

Calculated values
formation energy (no corrections): -518.8 meV per atom
symmetry: R-3m, No. 166
V: 117.2 Å³ per cell
density: 5.61 g cm⁻³